[1]
# NaNbSb2I (PBE, relaxed)
# Energy relative to the elements, uncorrected (eV per atom): -0.0013
# E_tot (eV per atom): -4.2380
data_NaNbSb2I
_space_group_name_H-M_alt 'P 4/m m m'
_space_group_IT_number 123
_space_group_name_Hall '-P 4 2'
_cell_length_a 5.334
_cell_length_b 5.334
_cell_length_c 6.119
_cell_angle_alpha 90.00
_cell_angle_beta 90.00
_cell_angle_gamma 90.00
loop_
_atom_site_label
_atom_site_fract_x
_atom_site_fract_y
_atom_site_fract_z
Na1 0.000 0.000 0.000
Nb1 0.500 0.500 0.500
Sb1 0.000 0.500 0.500
I1 0.500 0.500 0.000

[2]
# Ce2YBe2O6 (PBE, relaxed)
# Energy relative to the elements, uncorrected (eV per atom): -2.7621
# E_tot (eV per atom): -7.8106
data_Ce2YBe2O6
_space_group_name_H-M_alt 'P -3'
_space_group_IT_number 147
_space_group_name_Hall '-P 3'
_cell_length_a 5.4337
_cell_length_b 5.4337
_cell_length_c 6.2399
_cell_angle_alpha 90.00
_cell_angle_beta 90.00
_cell_angle_gamma 120.00
loop_
_atom_site_label
_atom_site_fract_x
_atom_site_fract_y
_atom_site_fract_z
Ce1 0.3333 0.6667 0.3752
Y1 0.0000 0.0000 0.0000
Be1 0.3333 0.6667 0.8176
O1 0.0679 0.6986 0.7785

[3]
# Sr2Sn5Ir3 (PBE, relaxed)
# ΔE_f (eV per atom): -0.47
# E_tot (eV per atom): -5.4678
data_Sr2Sn5Ir3
_space_group_name_H-M_alt 'I b a m'
_space_group_IT_number 72
_space_group_name_Hall '-I 2 2c'
_cell_length_a 11.104
_cell_length_b 13.173
_cell_length_c 6.449
_cell_angle_alpha 90.00
_cell_angle_beta 90.00
_cell_angle_gamma 90.00
loop_
_atom_site_label
_atom_site_fract_x
_atom_site_fract_y
_atom_site_fract_z
Sr1 0.228 0.145 0.000
Sn1 0.000 0.000 0.250
Sn2 0.000 0.278 0.250
Sn3 0.168 0.414 0.000
Ir1 0.000 0.500 0.250
Ir2 0.106 0.140 0.500

Copy entry 3 word for word.
# Sr2Sn5Ir3 (PBE, relaxed)
# ΔE_f (eV per atom): -0.47
# E_tot (eV per atom): -5.4678
data_Sr2Sn5Ir3
_space_group_name_H-M_alt 'I b a m'
_space_group_IT_number 72
_space_group_name_Hall '-I 2 2c'
_cell_length_a 11.104
_cell_length_b 13.173
_cell_length_c 6.449
_cell_angle_alpha 90.00
_cell_angle_beta 90.00
_cell_angle_gamma 90.00
loop_
_atom_site_label
_atom_site_fract_x
_atom_site_fract_y
_atom_site_fract_z
Sr1 0.228 0.145 0.000
Sn1 0.000 0.000 0.250
Sn2 0.000 0.278 0.250
Sn3 0.168 0.414 0.000
Ir1 0.000 0.500 0.250
Ir2 0.106 0.140 0.500